AgN | PBE-GGA | optimized geometry

POSCAR file:
```
AgN
1.0
3.1220 0.0000 0.0000
-1.5610 2.7037 0.0000
0.0000 0.0000 2.9311
Ag N
1 1
direct
0.6667 0.3333 0.7500
0.3333 0.6667 0.2500
```

## Properties
Its volume is 12.4 A^3/atom. As for the energy above the lowest structure with this stoichiometry: 0.25 eV per formula unit.

=====

TlHg3PdS4 | PBE-GGA | optimized geometry

POSCAR file:
```
TlHg3PdS4
1.0
-2.8096 -3.2067 -4.5054
-2.4677 -3.7955 4.2404
-4.9490 3.7131 0.4434
Hg Pd S Tl
3 1 4 1
direct
0.5000 0.5000 0.0000
0.5000 0.0000 0.5000
0.0000 0.5000 0.5000
0.5000 0.5000 0.5000
0.2567 0.2567 0.2567
0.7433 0.7433 0.2567
0.7433 0.2567 0.7433
0.2567 0.7433 0.7433
0.0000 0.0000 0.0000
```

## Properties
Its volume is 26.5 A^3/atom. The calculated total energy comes out at -24.9 eV for the cell shown.

=====

LuTlFeAg | PBE-GGA | optimized geometry

POSCAR file:
```
LuTlFeAg
1.0
0.0000 3.4028 3.4028
3.4028 0.0000 3.4028
3.4028 3.4028 0.0000
Ag Fe Lu Tl
1 1 1 1
direct
0.2500 0.2500 0.2500
0.7500 0.7500 0.7500
0.5000 0.5000 0.5000
0.0000 0.0000 0.0000
```

## Properties
Its volume is 19.7 A^3/atom. The value obtained for the total magnetic moment is 2.184 μB per formula unit. The calculated total energy comes out at -17.5 eV for the cell shown.

=====

HfAlCd | PBE-GGA | optimized geometry

POSCAR file:
```
HfAlCd
1.0
3.8707 -1.6198 2.0328
1.2289 1.5327 4.2284
-0.3152 -2.8335 3.6893
Al Cd Hf
1 1 1
direct
0.2500 0.2500 0.2500
0.7500 0.7500 0.7500
0.0000 0.0000 0.0000
```

## Properties
Its volume is 23.9 A^3/atom. The value obtained for the total magnetic moment is 0.008 μB per formula unit. As for the energy above the lowest structure with this stoichiometry: 0.61 eV per formula unit.